# TbPmY6 PBE-GGA optimized geometry
# Magnetization ... 0.000 Bohr magnetons per cell
# Energy relative to the elements ... 0.202 eV/atom
# Excess energy over the best structure of this formula in the dataset ... 49.9 meV/atom
# Total DFT energy (no corrections) ... -46.5 eV for the cell shown
# V ... 264 Å³ per cell
data_TbPmY6
_chemical_formula_sum 'Tb1 Pm1 Y6'
_symmetry_space_group_name_H-M 'P -1'
_symmetry_Int_Tables_number 2
_symmetry_space_group_name_Hall '-P 1'
_cell_length_a 6.569
_cell_length_b 6.803
_cell_length_c 6.984
_cell_angle_alpha 118.91
_cell_angle_beta 103.14
_cell_angle_gamma 90.08
loop_
_atom_site_label
_atom_site_fract_x
_atom_site_fract_y
_atom_site_fract_z
_atom_site_occupancy
Tb1 0.000 0.000 0.000 1
Pm1 0.500 0.000 0.000 1
Y1 0.230 0.906 0.477 1
Y2 0.249 0.454 0.999 1
Y3 0.267 0.425 0.518 1